Record 1
# GGA-PBE Pu2Ni3Rh, relaxed
# Energy of formation from the pure elements   -0.35 eV per atom
data_Pu2Ni3Rh
_space_group_name_H-M_alt 'P 1'
_space_group_IT_number 1
_cell_length_a 5.1943
_cell_length_b 5.1943
_cell_length_c 5.1943
_cell_angle_alpha 58.27
_cell_angle_beta 58.27
_cell_angle_gamma 58.27
loop_
_space_group_symop_operation_xyz
'x,y,z'
loop_
_atom_site_label
_atom_site_fract_x
_atom_site_fract_y
_atom_site_fract_z
Pu1 0.1245 0.1245 0.1245
Pu2 0.8755 0.8755 0.8755
Ni1 0.0000 0.5000 0.5000
Ni2 0.5000 0.0000 0.5000
Ni3 0.5000 0.5000 0.0000
Rh1 0.5000 0.5000 0.5000

Record 2
# GGA-PBE HgAu3F, relaxed
# Offset from the most stable computed form   0.00 eV per formula unit
# Raw formation energy   251.1 meV per atom
data_HgAu3F
_space_group_name_H-M_alt 'P 1'
_space_group_IT_number 1
_cell_length_a 4.6683
_cell_length_b 4.6683
_cell_length_c 4.6683
_cell_angle_alpha 90.00
_cell_angle_beta 90.00
_cell_angle_gamma 90.00
loop_
_space_group_symop_operation_xyz
'x,y,z'
loop_
_atom_site_label
_atom_site_fract_x
_atom_site_fract_y
_atom_site_fract_z
Hg1 0.0000 0.0000 0.0000
Au1 0.0000 0.5000 0.5000
Au2 0.5000 0.0000 0.5000
Au3 0.5000 0.5000 0.0000
F1 0.5000 0.5000 0.5000

Record 3
# GGA-PBE Dy2MgTiO6, relaxed
# Raw formation energy   -3287.6 meV per atom
data_Dy2MgTiO6
_space_group_name_H-M_alt 'P 1'
_space_group_IT_number 1
_cell_length_a 5.3296
_cell_length_b 5.6324
_cell_length_c 9.3410
_cell_angle_alpha 90.00
_cell_angle_beta 124.50
_cell_angle_gamma 90.00
loop_
_space_group_symop_operation_xyz
'x,y,z'
loop_
_atom_site_label
_atom_site_fract_x
_atom_site_fract_y
_atom_site_fract_z
Dy1 0.2296 0.0666 0.2481
Dy2 0.2296 0.4334 0.7481
Dy3 0.7704 0.5666 0.2519
Dy4 0.7704 0.9334 0.7519
Mg1 0.0000 0.0000 0.5000
Mg2 0.0000 0.5000 0.0000
Ti1 0.5000 0.0000 0.0000
Ti2 0.5000 0.5000 0.5000
O1 0.1447 0.1887 0.9437
O2 0.1447 0.3113 0.4437
O3 0.2515 0.7042 0.9371
O4 0.2515 0.7958 0.4371
O5 0.3726 0.0437 0.7572
O6 0.3726 0.4563 0.2572
O7 0.6274 0.5437 0.7428
O8 0.6274 0.9563 0.2428
O9 0.7485 0.2042 0.5629
O10 0.7485 0.2958 0.0629
O11 0.8553 0.6887 0.5563
O12 0.8553 0.8113 0.0563

Record 4
# GGA-PBE SrFeRu, relaxed
# Offset from the most stable computed form   0.29 eV per formula unit
# Energy of formation from the pure elements   0.38 eV per atom
data_SrFeRu
_space_group_name_H-M_alt 'P 1'
_space_group_IT_number 1
_cell_length_a 3.9223
_cell_length_b 3.9223
_cell_length_c 4.9827
_cell_angle_alpha 90.00
_cell_angle_beta 90.00
_cell_angle_gamma 120.00
loop_
_space_group_symop_operation_xyz
'x,y,z'
loop_
_atom_site_label
_atom_site_fract_x
_atom_site_fract_y
_atom_site_fract_z
Sr1 0.0000 0.0000 0.0000
Fe1 0.6667 0.3333 0.5000
Ru1 0.3333 0.6667 0.5000

Record 5
# GGA-PBE Sm2YPu, relaxed
# Offset from the most stable computed form   0.02 eV per formula unit
# Energy of formation from the pure elements   0.11 eV per atom
data_Sm2YPu
_space_group_name_H-M_alt 'P 1'
_space_group_IT_number 1
_cell_length_a 11.6757
_cell_length_b 11.6757
_cell_length_c 11.6757
_cell_angle_alpha 17.70
_cell_angle_beta 17.70
_cell_angle_gamma 17.70
loop_
_space_group_symop_operation_xyz
'x,y,z'
loop_
_atom_site_label
_atom_site_fract_x
_atom_site_fract_y
_atom_site_fract_z
Sm1 0.0000 0.0000 0.0000
Sm2 0.1695 0.1695 0.1695
Y1 0.4184 0.4184 0.4184
Pu1 0.5846 0.5846 0.5846

Record 6
# GGA-PBE VGaTc3, relaxed
# Offset from the most stable computed form   1.62 eV per formula unit
# Energy of formation from the pure elements   1.49 eV per atom
data_VGaTc3
_space_group_name_H-M_alt 'P 1'
_space_group_IT_number 1
_cell_length_a 4.4940
_cell_length_b 4.4940
_cell_length_c 4.4940
_cell_angle_alpha 90.00
_cell_angle_beta 90.00
_cell_angle_gamma 90.00
loop_
_space_group_symop_operation_xyz
'x,y,z'
loop_
_atom_site_label
_atom_site_fract_x
_atom_site_fract_y
_atom_site_fract_z
V1 0.0000 0.0000 0.0000
Ga1 0.5000 0.5000 0.5000
Tc1 0.0000 0.5000 0.5000
Tc2 0.5000 0.0000 0.5000
Tc3 0.5000 0.5000 0.0000

Record 7
# GGA-PBE Ti4Mo2Au, relaxed
# Energy of formation from the pure elements   0.02 eV per atom
data_Ti4Mo2Au
_space_group_name_H-M_alt 'P 1'
_space_group_IT_number 1
_cell_length_a 5.4347
_cell_length_b 5.4347
_cell_length_c 5.4347
_cell_angle_alpha 110.28
_cell_angle_beta 110.28
_cell_angle_gamma 107.87
loop_
_space_group_symop_operation_xyz
'x,y,z'
loop_
_atom_site_label
_atom_site_fract_x
_atom_site_fract_y
_atom_site_fract_z
Ti1 0.0000 0.0000 0.5000
Ti2 0.0000 0.5000 0.0000
Ti3 0.5000 0.0000 0.0000
Ti4 0.5000 0.5000 0.5000
Mo1 0.0000 0.5000 0.5000
Mo2 0.5000 0.0000 0.5000
Au1 0.0000 0.0000 0.0000

Record 8
# GGA-PBE HgBi2P, relaxed
# Offset from the most stable computed form   0.74 eV per formula unit
# Energy of formation from the pure elements   0.33 eV per atom
data_HgBi2P
_space_group_name_H-M_alt 'P 1'
_space_group_IT_number 1
_cell_length_a 5.2398
_cell_length_b 5.2398
_cell_length_c 5.2398
_cell_angle_alpha 60.00
_cell_angle_beta 60.00
_cell_angle_gamma 60.00
loop_
_space_group_symop_operation_xyz
'x,y,z'
loop_
_atom_site_label
_atom_site_fract_x
_atom_site_fract_y
_atom_site_fract_z
Hg1 0.0000 0.0000 0.0000
Bi1 0.2500 0.2500 0.2500
Bi2 0.7500 0.7500 0.7500
P1 0.5000 0.5000 0.5000

Record 9
# GGA-PBE La2PdAu2, relaxed
# Offset from the most stable computed form   0.47 eV per formula unit
# Energy of formation from the pure elements   -0.75 eV per atom
data_La2PdAu2
_space_group_name_H-M_alt 'P 1'
_space_group_IT_number 1
_cell_length_a 7.8715
_cell_length_b 7.8715
_cell_length_c 4.1000
_cell_angle_alpha 90.00
_cell_angle_beta 90.00
_cell_angle_gamma 90.00
loop_
_space_group_symop_operation_xyz
'x,y,z'
loop_
_atom_site_label
_atom_site_fract_x
_atom_site_fract_y
_atom_site_fract_z
La1 0.1744 0.3256 0.0000
La2 0.3256 0.8256 0.0000
La3 0.6744 0.1744 0.0000
La4 0.8256 0.6744 0.0000
Pd1 0.0000 0.0000 0.5000
Pd2 0.5000 0.5000 0.5000
Au1 0.1296 0.6296 0.5000
Au2 0.3704 0.1296 0.5000
Au3 0.6296 0.8704 0.5000
Au4 0.8704 0.3704 0.5000

Record 10
# GGA-PBE TiIrCl2, relaxed
# Offset from the most stable computed form   1.09 eV per formula unit
# Raw formation energy   -52.4 meV per atom
data_TiIrCl2
_space_group_name_H-M_alt 'P 1'
_space_group_IT_number 1
_cell_length_a 8.4076
_cell_length_b 8.4076
_cell_length_c 8.4076
_cell_angle_alpha 151.27
_cell_angle_beta 151.27
_cell_angle_gamma 41.09
loop_
_space_group_symop_operation_xyz
'x,y,z'
loop_
_atom_site_label
_atom_site_fract_x
_atom_site_fract_y
_atom_site_fract_z
Ti1 0.0000 0.0000 0.0000
Ti2 0.7500 0.2500 0.5000
Ir1 0.2500 0.7500 0.5000
Ir2 0.5000 0.5000 0.0000
Cl1 0.1226 0.6250 0.9976
Cl2 0.3750 0.3726 0.4976
Cl3 0.6274 0.1250 0.0024
Cl4 0.8750 0.8774 0.5024

Record 11
# GGA-PBE Sc6InGa, relaxed
# Offset from the most stable computed form   0.41 eV per formula unit
# Energy of formation from the pure elements   -0.25 eV per atom
data_Sc6InGa
_space_group_name_H-M_alt 'P 1'
_space_group_IT_number 1
_cell_length_a 5.6192
_cell_length_b 5.6192
_cell_length_c 5.6192
_cell_angle_alpha 90.00
_cell_angle_beta 90.00
_cell_angle_gamma 90.00
loop_
_space_group_symop_operation_xyz
'x,y,z'
loop_
_atom_site_label
_atom_site_fract_x
_atom_site_fract_y
_atom_site_fract_z
Sc1 0.0000 0.2463 0.5000
Sc2 0.0000 0.7537 0.5000
Sc3 0.2463 0.5000 0.0000
Sc4 0.5000 0.0000 0.2463
Sc5 0.5000 0.0000 0.7537
Sc6 0.7537 0.5000 0.0000
In1 0.5000 0.5000 0.5000
Ga1 0.0000 0.0000 0.0000

Record 12
# GGA-PBE K2BaTaS4, relaxed
# Raw formation energy   -1233.0 meV per atom
data_K2BaTaS4
_space_group_name_H-M_alt 'P 1'
_space_group_IT_number 1
_cell_length_a 7.1049
_cell_length_b 7.1049
_cell_length_c 7.1049
_cell_angle_alpha 115.93
_cell_angle_beta 115.93
_cell_angle_gamma 97.20
loop_
_space_group_symop_operation_xyz
'x,y,z'
loop_
_atom_site_label
_atom_site_fract_x
_atom_site_fract_y
_atom_site_fract_z
K1 0.0000 0.0000 0.0000
K2 0.7500 0.2500 0.5000
Ba1 0.5000 0.5000 0.0000
Ta1 0.2500 0.7500 0.5000
S1 0.1438 0.6419 0.0921
S2 0.3581 0.4502 0.5019
S3 0.5498 0.0517 0.9079
S4 0.9483 0.8562 0.4981

Record 13
# GGA-PBE Pr2Ni12P7, relaxed
# Energy of formation from the pure elements   -0.73 eV per atom
data_Pr2Ni12P7
_space_group_name_H-M_alt 'P 1'
_space_group_IT_number 1
_cell_length_a 9.1100
_cell_length_b 9.1100
_cell_length_c 3.7685
_cell_angle_alpha 90.00
_cell_angle_beta 90.00
_cell_angle_gamma 120.00
loop_
_space_group_symop_operation_xyz
'x,y,z'
loop_
_atom_site_label
_atom_site_fract_x
_atom_site_fract_y
_atom_site_fract_z
Pr1 0.0000 0.0000 0.0000
Pr2 0.3333 0.6667 0.5000
Ni1 0.0453 0.7596 0.5000
Ni2 0.0980 0.3926 0.0000
Ni3 0.2404 0.2857 0.5000
Ni4 0.2946 0.9020 0.0000
Ni5 0.3949 0.2100 0.0000
Ni6 0.5506 0.1250 0.5000
Ni7 0.5744 0.4494 0.5000
Ni8 0.6074 0.7054 0.0000
Ni9 0.7143 0.9547 0.5000
Ni10 0.7900 0.1849 0.0000
Ni11 0.8151 0.6051 0.0000
Ni12 0.8750 0.4256 0.5000
P1 0.0693 0.6302 0.0000
P2 0.2686 0.0369 0.5000
P3 0.3698 0.4391 0.0000
P4 0.5609 0.9307 0.0000
P5 0.6667 0.3333 0.0000
P6 0.7683 0.7314 0.5000
P7 0.9631 0.2317 0.5000

Record 14
# GGA-PBE BaCaBe2Hg, relaxed
# Energy of formation from the pure elements   0.67 eV per atom
data_BaCaBe2Hg
_space_group_name_H-M_alt 'P 1'
_space_group_IT_number 1
_cell_length_a 4.8496
_cell_length_b 4.8496
_cell_length_c 6.0833
_cell_angle_alpha 90.00
_cell_angle_beta 90.00
_cell_angle_gamma 90.00
loop_
_space_group_symop_operation_xyz
'x,y,z'
loop_
_atom_site_label
_atom_site_fract_x
_atom_site_fract_y
_atom_site_fract_z
Ba1 0.0000 0.0000 0.0000
Ca1 0.5000 0.5000 0.0000
Be1 0.0000 0.5000 0.5000
Be2 0.5000 0.0000 0.5000
Hg1 0.0000 0.0000 0.5000

Record 15
# GGA-PBE TbErAu6, relaxed
# Energy of formation from the pure elements   -0.68 eV per atom
data_TbErAu6
_space_group_name_H-M_alt 'P 1'
_space_group_IT_number 1
_cell_length_a 5.1142
_cell_length_b 5.1142
_cell_length_c 8.9823
_cell_angle_alpha 115.96
_cell_angle_beta 115.96
_cell_angle_gamma 52.33
loop_
_space_group_symop_operation_xyz
'x,y,z'
loop_
_atom_site_label
_atom_site_fract_x
_atom_site_fract_y
_atom_site_fract_z
Tb1 0.0000 0.0000 0.0000
Er1 0.0000 0.0000 0.5000
Au1 0.2501 0.2501 0.8721
Au2 0.2518 0.2518 0.3783
Au3 0.4979 0.4979 0.2502
Au4 0.5021 0.5021 0.7498
Au5 0.7482 0.7482 0.6217
Au6 0.7499 0.7499 0.1279

no.,total energy (eV per cell)
1,-55.46
2,-10.75
3,-162.64
4,-18.28
5,-29.79
6,-35.77
7,-56.40
8,-12.13
9,-50.71
10,-41.32
11,-45.76
12,-42.34
13,-132.14
14,-8.35
15,-34.26